1.
# Ac6Co2H, optimized geometry, DFT PBE
data_Ac6Co2H
_cell_length_a 15.1357
_cell_length_b 4.2094
_cell_length_c 9.8278
_cell_angle_alpha 90.00
_cell_angle_beta 106.90
_cell_angle_gamma 90.00
_space_group_name_H-M_alt 'C 1 2/m 1'
_space_group_IT_number 12
loop_
_space_group_symop_operation_xyz
'x,y,z'
'-x,-y,-z'
'-x,y,-z'
'x,-y,z'
'x+1/2,y+1/2,z'
'-x+1/2,-y+1/2,-z'
'-x+1/2,y+1/2,-z'
'x+1/2,-y+1/2,z'
loop_
_atom_site_label
_atom_site_type_symbol
_atom_site_fract_x
_atom_site_fract_y
_atom_site_fract_z
Ac1 Ac 0.0308 0.0000 0.2869
Ac2 Ac 0.1409 0.5000 0.0325
Ac3 Ac 0.1984 0.5000 0.6348
Co1 Co 0.1595 0.5000 0.3191
H1 H 0.0000 0.0000 0.0000
# Crystal system: monoclinic
# Electronic total energy, eV/f.u.: -42.92


2.
# Ac2CoH6, optimized geometry, DFT PBE
data_Ac2CoH6
_cell_length_a 7.5801
_cell_length_b 7.5801
_cell_length_c 7.5801
_cell_angle_alpha 90.00
_cell_angle_beta 90.00
_cell_angle_gamma 90.00
_space_group_name_H-M_alt 'F m -3 m'
_space_group_IT_number 225
_space_group_name_Hall '-F 4 2 3'
loop_
_atom_site_label
_atom_site_type_symbol
_atom_site_fract_x
_atom_site_fract_y
_atom_site_fract_z
Ac1 Ac 0.2500 0.2500 0.2500
Co1 Co 0.0000 0.0000 0.0000
H1 H 0.0000 0.0000 0.2213
# Crystal system: cubic
# Electronic total energy, eV/f.u.: -39.29


3.
# Ac2CoH, optimized geometry, DFT PBE
data_Ac2CoH
_cell_length_a 4.0564
_cell_length_b 4.0564
_cell_length_c 21.4403
_cell_angle_alpha 90.00
_cell_angle_beta 90.00
_cell_angle_gamma 120.00
_space_group_name_H-M_alt 'R 3 m'
_space_group_IT_number 160
_space_group_name_Hall 'R 3 -2"'
loop_
_atom_site_label
_atom_site_type_symbol
_atom_site_fract_x
_atom_site_fract_y
_atom_site_fract_z
Ac1 Ac 0.0000 0.0000 0.0000
Ac2 Ac 0.0000 0.0000 0.1797
Co1 Co 0.0000 0.0000 0.5906
H1 H 0.0000 0.0000 0.4178
# Crystal system: trigonal
# Electronic total energy, eV/f.u.: -18.97
# Distance to the lowest polymorph of the same formula, eV per atom: 0.0759


Copy entry 1 word for word.
# Ac6Co2H, optimized geometry, DFT PBE
data_Ac6Co2H
_cell_length_a 15.1357
_cell_length_b 4.2094
_cell_length_c 9.8278
_cell_angle_alpha 90.00
_cell_angle_beta 106.90
_cell_angle_gamma 90.00
_space_group_name_H-M_alt 'C 1 2/m 1'
_space_group_IT_number 12
loop_
_space_group_symop_operation_xyz
'x,y,z'
'-x,-y,-z'
'-x,y,-z'
'x,-y,z'
'x+1/2,y+1/2,z'
'-x+1/2,-y+1/2,-z'
'-x+1/2,y+1/2,-z'
'x+1/2,-y+1/2,z'
loop_
_atom_site_label
_atom_site_type_symbol
_atom_site_fract_x
_atom_site_fract_y
_atom_site_fract_z
Ac1 Ac 0.0308 0.0000 0.2869
Ac2 Ac 0.1409 0.5000 0.0325
Ac3 Ac 0.1984 0.5000 0.6348
Co1 Co 0.1595 0.5000 0.3191
H1 H 0.0000 0.0000 0.0000
# Crystal system: monoclinic
# Electronic total energy, eV/f.u.: -42.92


Among the records above, which one has the lowest electronic total energy?
Ac6Co2H


Which formula does entry 2 have?
Ac2CoH6


The highest electronic total energy belongs to which entry?
Ac2CoH